1.
VASP calculation (PBE-GGA) on a relaxed structure of PmSi6Ni12.

Cell lengths 6.543, 6.543, 6.543 Å; angles 105.23, 105.23, 105.23 degrees
Fractional coordinates of all 19 atoms:
1 Pm 0.000 0.000 0.000
2 Si 0.697 0.252 0.252
3 Si 0.252 0.252 0.697
4 Si 0.252 0.697 0.252
5 Si 0.748 0.748 0.303
6 Si 0.303 0.748 0.748
7 Si 0.748 0.303 0.748
8 Ni 0.878 0.122 0.500
9 Ni 0.834 0.569 0.569
10 Ni 0.569 0.569 0.834
11 Ni 0.431 0.166 0.431
12 Ni 0.431 0.431 0.166
13 Ni 0.166 0.431 0.431
14 Ni 0.122 0.500 0.878
15 Ni 0.500 0.878 0.122
16 Ni 0.122 0.878 0.500
17 Ni 0.878 0.500 0.122
18 Ni 0.500 0.122 0.878
19 Ni 0.569 0.834 0.569

Computed properties:
The calculation puts the raw total energy at -6.1193 eV/atom. The value obtained for the formation energy from raw total energies is -0.505 eV per atom. Its space-group type is R-3m.

---

2.
VASP calculation (PBE-GGA) on a relaxed structure of Na3HfFe.

Cell lengths 5.133, 5.133, 5.133 Å; angles 90.00, 90.00, 90.00 degrees
Site moments in Bohr magnetons follow the coordinates.
Fractional coordinates of all 5 atoms:
1 Na 0.000 0.500 0.000  -0.01
2 Na 0.000 0.000 0.500  -0.01
3 Na 0.500 0.000 0.000  -0.01
4 Hf 0.500 0.500 0.500  -0.77
5 Fe 0.000 0.000 0.000  0.16

Computed properties:
For the energy above the most stable polymorph in this dataset, the calculation gives 0 meV per atom. The calculation puts the raw total energy at -2.7821 eV/atom. The formation energy from the elements comes out at 1.693 eV/atom. Its space-group type is Pm-3m.

---

3.
VASP calculation (PBE-GGA) on a relaxed structure of Tc2C.

Cell lengths 9.759, 9.759, 9.759 Å; angles 155.80, 155.80, 34.49 degrees
Fractional coordinates of all 12 atoms:
1 C 0.041 0.041 0.000
2 C 0.959 0.959 0.000
3 C 0.791 0.291 0.500
4 C 0.709 0.209 0.500
5 Tc 0.240 0.240 0.000
6 Tc 0.760 0.760 0.000
7 Tc 0.990 0.490 0.500
8 Tc 0.510 0.010 0.500
9 Tc 0.403 0.403 0.000
10 Tc 0.597 0.597 0.000
11 Tc 0.153 0.653 0.500
12 Tc 0.347 0.847 0.500

Computed properties:
For the energy above the most stable polymorph in this dataset, the calculation gives 921 meV per atom. The calculation puts the raw total energy at -8.9896 eV/atom. The formation energy from the elements comes out at 0.996 eV/atom. Its space-group type is I4_1/amd.

---

Going through the records in order, we get density of states at the Fermi level values of 12.4 7.6 6.4 states/eV per cell.
Going through the records in order, we get magnetization values of 0.00 1.32 0.00 μB per cell.